1.
AcNdSm2Tm5 | GGA-PBE | optimized geometry

CIF file:
```
data_AcNdSm2Tm5
_cell_length_a 8.794
_cell_length_b 8.794
_cell_length_c 15.511
_cell_angle_alpha 90.00
_cell_angle_beta 90.00
_cell_angle_gamma 90.00
_symmetry_space_group_name_H-M 'I 4/m c m'
_symmetry_Int_Tables_number 140
_symmetry_space_group_name_Hall '-I 4 2c'
loop_
_atom_site_label
_atom_site_type_symbol
_atom_site_fract_x
_atom_site_fract_y
_atom_site_fract_z
_atom_site_occupancy
Ac1 Ac 0.000 0.000 0.250 1
Nd1 Nd 0.000 0.500 0.250 1
Sm1 Sm 0.116 0.384 0.000 1
Tm1 Tm 0.000 0.000 0.000 1
Tm2 Tm 0.206 0.294 0.369 1
```

2.
AcNdSm2Tm4 | GGA-PBE | optimized geometry

CIF file:
```
data_AcNdSm2Tm4
_cell_length_a 6.883
_cell_length_b 11.936
_cell_length_c 13.432
_cell_angle_alpha 90.00
_cell_angle_beta 90.00
_cell_angle_gamma 90.00
_symmetry_space_group_name_H-M 'I m m a'
_symmetry_Int_Tables_number 74
_symmetry_space_group_name_Hall '-I 2b 2'
loop_
_atom_site_label
_atom_site_type_symbol
_atom_site_fract_x
_atom_site_fract_y
_atom_site_fract_z
_atom_site_occupancy
Ac1 Ac 0.000 0.000 0.000 1
Nd1 Nd 0.250 0.250 0.250 1
Sm1 Sm 0.000 0.000 0.500 1
Sm2 Sm 0.250 0.250 0.750 1
Tm1 Tm 0.000 0.002 0.742 1
Tm2 Tm 0.238 0.250 0.501 1
```

Number 1: formation energy 0.254 eV/atom, N(E_F) 1.118 states/eV per atom, M_tot 0.000 μB per atom. Number 2: formation energy 0.437 eV/atom, N(E_F) 2.403 states/eV per atom, M_tot 0.111 μB per atom.